(1)
SrCo2Ag, optimized geometry, DFT GGA-PBE; theoretical density = 7067 kg/m³; space-group type = Fm-3m, No. 225; calculated formation energy = 0.754 eV/atom; M_tot = 2.6 μB per formula unit
1.0
0.0000 3.3266 3.3266
3.3266 0.0000 3.3266
3.3266 3.3266 0.0000
Sr Co Ag
1 2 1
Direct
0.0000 0.0000 0.0000 Sr
0.2500 0.2500 0.2500 Co
0.7500 0.7500 0.7500 Co
0.5000 0.5000 0.5000 Ag

---

(2)
SrCo2Ag, optimized geometry, DFT GGA-PBE; theoretical density = 7064 kg/m³; space-group type = R-3m, No. 166; calculated formation energy = 0.990 eV/atom; M_tot = 2.9 μB per formula unit
1.0
9.2417 -0.0475 -0.0279
8.7499 2.9749 -0.0279
8.7499 1.4237 2.6123
Ag Co Sr
1 2 1
Direct
0.7500 0.7500 0.7500 Ag
0.0081 0.0081 0.0081 Co
0.4919 0.4919 0.4919 Co
0.2500 0.2500 0.2500 Sr

---

(3)
SrCo2Ag, optimized geometry, DFT GGA-PBE; theoretical density = 6648 kg/m³; space-group type = Imm2, No. 44; calculated formation energy = 0.462 eV/atom; M_tot = 3.1 μB per formula unit
1.0
-3.8041 -3.4286 -1.9865
-3.1848 -2.2056 3.8942
1.5773 4.7564 -2.2496
Ag Co Sr
1 2 1
Direct
0.2173 0.7173 0.5000 Ag
0.9648 0.9648 0.0000 Co
0.8073 0.3073 0.5000 Co
0.5106 0.5106 0.0000 Sr

---

> M_tot of number 3 (SrCo2Ag)?

3.1 μB per formula unit